Entry 1:
The following is a DFT calculation (PBE) of a geometry-optimized Hg8Pb3 structure.

Values from the calculation:
- E: -1.202 eV/atom
- Formation energy: 0.03 eV per atom

a b c (Å): 3.3612 8.7947 10.6311
angles (deg): 88.19 81.53 88.30
Last column: nearest neighbours and their distance in Å.
Atoms (fractional coordinates):
Hg: 0.0408 0.1409 0.4084  7 Hg 3.10-3.43, 3 Pb 3.33-3.43
Hg: 0.1604 0.6679 0.0725  1 Pb 3.21, 7 Hg 3.23-3.41
Hg: 0.3984 0.5902 0.7711  8 Hg 3.23-3.43, 3 Pb 3.26-3.47
Hg: 0.4302 0.2224 0.6705  3 Pb 3.17-3.45, 7 Hg 3.29-3.43
Hg: 0.5698 0.7776 0.3295  3 Pb 3.17-3.45, 7 Hg 3.29-3.43
Hg: 0.6016 0.4098 0.2289  8 Hg 3.23-3.43, 3 Pb 3.26-3.47
Hg: 0.8396 0.3321 0.9275  1 Pb 3.21, 7 Hg 3.23-3.41
Hg: 0.9592 0.8591 0.5916  7 Hg 3.10-3.43, 3 Pb 3.33-3.43
Pb: 0.0000 0.5000 0.5000  10 Hg 3.33-3.47, 2 Pb 3.36
Pb: 0.3210 0.9404 0.8651  5 Hg 3.17-3.43, 4 Pb 3.36-3.50
Pb: 0.6790 0.0596 0.1349  5 Hg 3.17-3.43, 4 Pb 3.36-3.50

***

Entry 2:
The following is a DFT calculation (PBE) of a geometry-optimized Pr4Y5 structure.

Values from the calculation:
- E: -5.700 eV/atom
- Formation energy: 0.02 eV per atom

a b c (Å): 8.1308 8.1308 8.1308
angles (deg): 95.71 95.71 143.22
Last column: nearest neighbours and their distance in Å.
Atoms (fractional coordinates):
Pr: 0.1668 0.1668 0.3335  4 Pr 3.63-3.64, 8 Y 3.63-3.64
Pr: 0.1668 0.8332 0.0000  4 Pr 3.63-3.64, 8 Y 3.63-3.64
Pr: 0.8332 0.1668 0.0000  4 Pr 3.63-3.64, 8 Y 3.63-3.64
Pr: 0.8332 0.8332 0.6665  4 Pr 3.63-3.64, 8 Y 3.63-3.64
Y: 0.1657 0.5000 0.6657  6 Y 3.62-3.65, 6 Pr 3.64
Y: 0.5000 0.1657 0.6657  6 Y 3.62-3.65, 6 Pr 3.64
Y: 0.5000 0.5000 0.0000  8 Pr 3.63, 4 Y 3.65
Y: 0.5000 0.8343 0.3343  6 Y 3.62-3.65, 6 Pr 3.64
Y: 0.8343 0.5000 0.3343  6 Y 3.62-3.65, 6 Pr 3.64

***

Entry 3:
The following is a DFT calculation (PBE) of a geometry-optimized NdGe2Rh2 structure.

Values from the calculation:
- E: -6.640 eV/atom
- Formation energy: -0.90 eV per atom

a b c (Å): 4.1770 4.1770 10.5507
angles (deg): 90.00 90.00 90.00
Last column: nearest neighbours and their distance in Å.
Atoms (fractional coordinates):
Nd: 0.0000 0.0000 0.0000  8 Ge 3.23, 8 Rh 3.36
Nd: 0.5000 0.5000 0.5000  8 Ge 3.23, 8 Rh 3.36
Ge: 0.0000 0.0000 0.3761  4 Rh 2.48, 1 Ge 2.61
Ge: 0.0000 0.0000 0.6239  4 Rh 2.48, 1 Ge 2.61
Ge: 0.5000 0.5000 0.1239  4 Rh 2.48, 1 Ge 2.61
Ge: 0.5000 0.5000 0.8761  4 Rh 2.48, 1 Ge 2.61
Rh: 0.0000 0.5000 0.2500  4 Ge 2.48
Rh: 0.0000 0.5000 0.7500  4 Ge 2.48
Rh: 0.5000 0.0000 0.2500  4 Ge 2.48
Rh: 0.5000 0.0000 0.7500  4 Ge 2.48

***

Entry 4:
The following is a DFT calculation (PBE) of a geometry-optimized PrNdCuSn structure.

Values from the calculation:
- E: -4.825 eV/atom
- Formation energy: -0.41 eV per atom

a b c (Å): 7.5576 7.5576 7.5576
angles (deg): 90.00 90.00 90.00
Last column: nearest neighbours and their distance in Å.
Atoms (fractional coordinates):
Pr: 0.0000 0.0000 0.0000  4 Sn 3.27, 4 Cu 3.27
Pr: 0.0000 0.5000 0.5000  4 Sn 3.27, 4 Cu 3.27
Pr: 0.5000 0.0000 0.5000  4 Sn 3.27, 4 Cu 3.27
Pr: 0.5000 0.5000 0.0000  4 Sn 3.27, 4 Cu 3.27
Nd: 0.0000 0.0000 0.5000  4 Sn 3.27, 4 Cu 3.27
Nd: 0.0000 0.5000 0.0000  4 Sn 3.27, 4 Cu 3.27
Nd: 0.5000 0.0000 0.0000  4 Sn 3.27, 4 Cu 3.27
Nd: 0.5000 0.5000 0.5000  4 Sn 3.27, 4 Cu 3.27
Cu: 0.2500 0.2500 0.2500  4 Pr 3.27, 4 Nd 3.27
Cu: 0.2500 0.7500 0.7500  4 Pr 3.27, 4 Nd 3.27
Cu: 0.7500 0.2500 0.7500  4 Pr 3.27, 4 Nd 3.27
Cu: 0.7500 0.7500 0.2500  4 Pr 3.27, 4 Nd 3.27
Sn: 0.2500 0.2500 0.7500  4 Pr 3.27, 4 Nd 3.27
Sn: 0.2500 0.7500 0.2500  4 Pr 3.27, 4 Nd 3.27
Sn: 0.7500 0.2500 0.2500  4 Pr 3.27, 4 Nd 3.27
Sn: 0.7500 0.7500 0.7500  4 Pr 3.27, 4 Nd 3.27

***

Entry 5:
The following is a DFT calculation (PBE) of a geometry-optimized Nb2ReHCl structure.

Values from the calculation:
- E: -6.725 eV/atom

a b c (Å): 5.0625 5.0625 3.2796
angles (deg): 90.00 90.00 90.00
Last column: nearest neighbours and their distance in Å.
Atoms (fractional coordinates):
Nb: 0.0000 0.5000 0.0000  2 Re 2.53
Nb: 0.5000 0.0000 0.0000  2 Re 2.53
Re: 0.0000 0.0000 0.0000  2 H 1.64
H: 0.0000 0.0000 0.5000  2 Re 1.64
Cl: 0.5000 0.5000 0.5000  8 Nb 3.02, 2 Cl 3.28

***

Entry 6:
The following is a DFT calculation (PBE) of a geometry-optimized CaPr4Dy4 structure.

Values from the calculation:
- E: -4.334 eV/atom
- Formation energy: 0.06 eV per atom

a b c (Å): 6.7616 9.1826 10.7004
angles (deg): 105.44 100.15 96.69
Last column: nearest neighbours and their distance in Å.
Atoms (fractional coordinates):
Ca: 0.0039 0.2598 0.2562  6 Dy 3.45-3.76, 5 Pr 3.52-3.82
Ca: 0.9961 0.7402 0.7438  6 Dy 3.45-3.76, 5 Pr 3.52-3.82
Pr: 0.1287 0.3594 0.6086  3 Pr 3.51-3.90, 2 Ca 3.55-3.69, 5 Dy 3.59-3.84
Pr: 0.2226 0.9576 0.3982  5 Pr 3.50-3.87, 5 Dy 3.65-3.89, 1 Ca 3.82
Pr: 0.3307 0.0694 0.7455  5 Dy 3.41-3.70, 5 Pr 3.50-3.74, 1 Ca 3.55
Pr: 0.4043 0.6530 0.9485  7 Dy 3.45-3.61, 1 Ca 3.52, 2 Pr 3.58
Pr: 0.5957 0.3470 0.0515  7 Dy 3.45-3.61, 1 Ca 3.52, 2 Pr 3.58
Pr: 0.6693 0.9306 0.2545  5 Dy 3.41-3.70, 5 Pr 3.50-3.74, 1 Ca 3.55
Pr: 0.7774 0.0424 0.6018  5 Pr 3.50-3.87, 5 Dy 3.65-3.89, 1 Ca 3.82
Pr: 0.8713 0.6406 0.3914  3 Pr 3.51-3.90, 2 Ca 3.55-3.69, 5 Dy 3.59-3.84
Dy: 0.0605 0.3136 0.9318  5 Dy 3.42-3.66, 6 Pr 3.49-3.76, 1 Ca 3.71
Dy: 0.2738 0.0283 0.0658  4 Pr 3.41-3.63, 2 Ca 3.45-3.76, 4 Dy 3.62-3.66
Dy: 0.3361 0.5788 0.2492  4 Dy 3.42-3.65, 6 Pr 3.45-3.76, 1 Ca 3.50
Dy: 0.4506 0.6896 0.5906  3 Dy 3.44-3.71, 4 Pr 3.59-3.84, 2 Ca 3.68-3.75
Dy: 0.5494 0.3104 0.4094  3 Dy 3.44-3.71, 4 Pr 3.59-3.84, 2 Ca 3.68-3.75
Dy: 0.6639 0.4212 0.7508  4 Dy 3.42-3.65, 6 Pr 3.45-3.76, 1 Ca 3.50
Dy: 0.7262 0.9717 0.9342  4 Pr 3.41-3.63, 2 Ca 3.45-3.76, 4 Dy 3.62-3.66
Dy: 0.9395 0.6864 0.0682  5 Dy 3.42-3.66, 6 Pr 3.49-3.76, 1 Ca 3.71

***

What are the M_tot values for these records? In order: 0.000; 0.000; 0.000; 0.001; 0.001; 0.000 μB/atom.